# 1
This record from Alexandria describes a relaxed AcPr2Al crystal. The functional is PBE-GGA.

a = 5.0389 Å, b = 5.0389 Å, c = 5.0528 Å
α = 90.00°, β = 90.00°, γ = 90.00°
Closest atoms and distances in Å follow each position.
Element x y z (fractional)
Ac1 0.0000 0.0000 0.0000  4 Al 3.56, 8 Pr 3.57
Pr1 0.0000 0.5000 0.5000  4 Pr 3.56, 4 Al 3.57, 4 Ac 3.57
Pr2 0.5000 0.0000 0.5000  4 Pr 3.56, 4 Al 3.57, 4 Ac 3.57
Al1 0.5000 0.5000 0.0000  4 Ac 3.56, 8 Pr 3.57

Calculated values
Total magnetic moment (μB/cell): 0.00
Density (g/cm³): 6.935
Energy relative to the lowest polymorph listed for this composition (meV per atom): 31

---

# 2
This record from Alexandria describes a relaxed LiTmHfRh crystal. The functional is PBE-GGA.

a = 4.7398 Å, b = 4.7398 Å, c = 4.7398 Å
α = 60.00°, β = 60.00°, γ = 60.00°
Closest atoms and distances in Å follow each position.
Element x y z (fractional)
Li1 0.0000 0.0000 0.0000  4 Hf 2.90, 4 Tm 2.90
Tm1 0.7500 0.7500 0.7500  4 Rh 2.90, 4 Li 2.90
Hf1 0.2500 0.2500 0.2500  4 Rh 2.90, 4 Li 2.90
Rh1 0.5000 0.5000 0.5000  4 Tm 2.90, 4 Hf 2.90

Calculated values
Electronic total energy (eV/atom): -6.33
Total magnetic moment (μB/cell): 0.00
Density (g/cm³): 10.084

---

# 3
This record from Alexandria describes a relaxed LaIr2Se crystal. The functional is PBE-GGA.

a = 4.8113 Å, b = 4.8113 Å, c = 4.8113 Å
α = 60.00°, β = 60.00°, γ = 60.00°
Closest atoms and distances in Å follow each position.
Element x y z (fractional)
La1 0.0000 0.0000 0.0000  4 Ir 2.95, 4 Se 2.95
Ir1 0.5000 0.5000 0.5000  4 Se 2.95, 4 Ir 2.95
Ir2 0.7500 0.7500 0.7500  4 La 2.95, 4 Ir 2.95
Se1 0.2500 0.2500 0.2500  4 La 2.95, 4 Ir 2.95

Calculated values
Total magnetic moment (μB/cell): 0.46
Density (g/cm³): 12.700
Energy relative to the lowest polymorph listed for this composition (meV per atom): 632
Uncorrected formation energy (eV/f.u.): 0.31

---

Copy entry 3 word for word.
This record from Alexandria describes a relaxed LaIr2Se crystal. The functional is PBE-GGA.

a = 4.8113 Å, b = 4.8113 Å, c = 4.8113 Å
α = 60.00°, β = 60.00°, γ = 60.00°
Closest atoms and distances in Å follow each position.
Element x y z (fractional)
La1 0.0000 0.0000 0.0000  4 Ir 2.95, 4 Se 2.95
Ir1 0.5000 0.5000 0.5000  4 Se 2.95, 4 Ir 2.95
Ir2 0.7500 0.7500 0.7500  4 La 2.95, 4 Ir 2.95
Se1 0.2500 0.2500 0.2500  4 La 2.95, 4 Ir 2.95

Calculated values
Total magnetic moment (μB/cell): 0.46
Density (g/cm³): 12.700
Energy relative to the lowest polymorph listed for this composition (meV per atom): 632
Uncorrected formation energy (eV/f.u.): 0.31

---

Question: Look up the density of the second one.
Answer: 10.084 g/cm³

---

Copy entry 3 word for word.
This record from Alexandria describes a relaxed LaIr2Se crystal. The functional is PBE-GGA.

a = 4.8113 Å, b = 4.8113 Å, c = 4.8113 Å
α = 60.00°, β = 60.00°, γ = 60.00°
Closest atoms and distances in Å follow each position.
Element x y z (fractional)
La1 0.0000 0.0000 0.0000  4 Ir 2.95, 4 Se 2.95
Ir1 0.5000 0.5000 0.5000  4 Se 2.95, 4 Ir 2.95
Ir2 0.7500 0.7500 0.7500  4 La 2.95, 4 Ir 2.95
Se1 0.2500 0.2500 0.2500  4 La 2.95, 4 Ir 2.95

Calculated values
Total magnetic moment (μB/cell): 0.46
Density (g/cm³): 12.700
Energy relative to the lowest polymorph listed for this composition (meV per atom): 632
Uncorrected formation energy (eV/f.u.): 0.31